No. 1
A relaxed Ce3PuAs4 crystal. Source: the Alexandria database, functional PBE-GGA.

Values from the calculation:
Magnetic moment in Bohr magnetons per cell: 7.39
Uncorrected energy in eV per cell: -61.3
Space-group type: No. 221
E above lowest polymorph in meV/atom: 7.4
Formation energy in meV per atom: -1320

```
data_Ce3PuAs4
_chemical_formula_sum 'Ce3 Pu1 As4'
_cell_length_a 5.9441
_cell_length_b 5.9441
_cell_length_c 5.9441
_cell_angle_alpha 90.00
_cell_angle_beta 90.00
_cell_angle_gamma 90.00
_symmetry_space_group_name_H-M 'P 1'
_symmetry_Int_Tables_number 1
loop_
_symmetry_equiv_pos_as_xyz
'x,y,z'
loop_
_atom_site_label
_atom_site_type_symbol
_atom_site_fract_x
_atom_site_fract_y
_atom_site_fract_z
As1 As 0.0000 0.5000 0.0000
As2 As 0.5000 0.5000 0.5000
As3 As 0.5000 0.0000 0.0000
As4 As 0.0000 0.0000 0.5000
Pu1 Pu 0.0000 0.0000 0.0000
Ce1 Ce 0.0000 0.5000 0.5000
Ce2 Ce 0.5000 0.5000 0.0000
Ce3 Ce 0.5000 0.0000 0.5000
```


No. 2
A relaxed LiAcEuGe crystal. Source: the Alexandria database, functional PBE-GGA.

Values from the calculation:
Magnetic moment in Bohr magnetons per cell: 7.39
Uncorrected energy in eV per cell: -22.3
Space-group type: No. 216
Formation energy in meV per atom: -341

```
data_LiAcEuGe
_chemical_formula_sum 'Li1 Ac1 Eu1 Ge1'
_cell_length_a 5.4568
_cell_length_b 5.4568
_cell_length_c 5.4568
_cell_angle_alpha 60.00
_cell_angle_beta 60.00
_cell_angle_gamma 60.00
_symmetry_space_group_name_H-M 'P 1'
_symmetry_Int_Tables_number 1
loop_
_symmetry_equiv_pos_as_xyz
'x,y,z'
loop_
_atom_site_label
_atom_site_type_symbol
_atom_site_fract_x
_atom_site_fract_y
_atom_site_fract_z
Eu1 Eu 0.0000 0.0000 0.0000
Li1 Li 0.7500 0.7500 0.7500
Ac1 Ac 0.5000 0.5000 0.5000
Ge1 Ge 0.2500 0.2500 0.2500
```


No. 3
A relaxed FeRePt crystal. Source: the Alexandria database, functional PBE-GGA.

Values from the calculation:
Magnetic moment in Bohr magnetons per cell: 1.41
Uncorrected energy in eV per cell: -27.1
Space-group type: No. 44
E above lowest polymorph in meV/atom: 0.0
Formation energy in meV per atom: -33

```
data_FeRePt
_chemical_formula_sum 'Fe1 Re1 Pt1'
_cell_length_a 4.6871
_cell_length_b 4.6871
_cell_length_c 4.6871
_cell_angle_alpha 146.59
_cell_angle_beta 132.08
_cell_angle_gamma 59.67
_symmetry_space_group_name_H-M 'P 1'
_symmetry_Int_Tables_number 1
loop_
_symmetry_equiv_pos_as_xyz
'x,y,z'
loop_
_atom_site_label
_atom_site_type_symbol
_atom_site_fract_x
_atom_site_fract_y
_atom_site_fract_z
Re1 Re 0.6580 0.6580 0.0000
Pt1 Pt 0.3344 0.3344 0.0000
Fe1 Fe 0.0076 0.0076 0.0000
```